Record 1
Below is Fe5Ir6Os after structural relaxation, with properties calculated at the GGA-PBE level.

Properties
Its space-group type is Immm (71). For the volume, the calculation gives 161 Å³/f.u. For the density of states at the Fermi level, the calculation gives 1.054 states/eV per atom. The formation energy comes out at -0.272 eV/f.u.

Cell lengths 3.798, 7.065, 7.065 Å; angles 107.83, 105.59, 105.59 degrees
Each line ends with the local moment (μB).
Atoms (fractional coordinates):
Ir 0.252 0.084 0.420  0.02
Ir 0.748 0.580 0.916  0.02
Ir 0.753 0.253 0.253  0.00
Ir 0.247 0.747 0.747  0.00
Ir 0.252 0.420 0.084  0.02
Ir 0.748 0.916 0.580  0.02
Os 0.000 0.000 0.000  -0.37
Fe 0.500 0.163 0.837  2.15
Fe 0.000 0.332 0.668  2.27
Fe 0.500 0.500 0.500  2.54
Fe 0.000 0.668 0.332  2.27
Fe 0.500 0.837 0.163  2.15

***

Record 2
Below is FeIrOs2 after structural relaxation, with properties calculated at the GGA-PBE level.

Properties
Its space-group type is Imm2 (44). The calculation puts the offset from the most stable computed form at 307 meV/atom. For the volume, the calculation gives 56 Å³/f.u. For the density of states at the Fermi level, the calculation gives 0.989 states/eV per atom. The formation energy comes out at 1.364 eV/f.u.

Cell lengths 5.225, 5.225, 5.225 Å; angles 148.84, 130.17, 59.95 degrees
Each line ends with the local moment (μB).
Atoms (fractional coordinates):
Fe 0.497 0.497 0.000  2.42
Ir 0.724 0.224 0.500  0.14
Os 0.006 0.006 0.000  0.08
Os 0.273 0.773 0.500  0.07

***

Record 3
Below is FeIr4Os after structural relaxation, with properties calculated at the GGA-PBE level.

Properties
Its space-group type is F-43m (216). The calculation puts the offset from the most stable computed form at 687 meV/atom. For the volume, the calculation gives 94 Å³/f.u. For the density of states at the Fermi level, the calculation gives 1.275 states/eV per atom. The formation energy comes out at 4.145 eV/f.u.

Cell lengths 5.101, 5.101, 5.101 Å; angles 60.00, 60.00, 60.00 degrees
Each line ends with the local moment (μB).
Atoms (fractional coordinates):
Fe 0.000 0.000 0.000  3.14
Ir 0.625 0.625 0.125  -0.07
Ir 0.625 0.125 0.625  -0.07
Ir 0.625 0.625 0.625  -0.07
Ir 0.125 0.625 0.625  -0.07
Os 0.250 0.250 0.250  -1.06

***

Record 4
Below is FeIr2Os after structural relaxation, with properties calculated at the GGA-PBE level.

Properties
Its space-group type is I-4m2 (119). The calculation puts the offset from the most stable computed form at 57 meV/atom. For the volume, the calculation gives 55 Å³/f.u. For the density of states at the Fermi level, the calculation gives 1.159 states/eV per atom. The formation energy comes out at 0.121 eV/f.u.

Cell lengths 4.675, 4.675, 4.675 Å; angles 132.00, 132.00, 70.24 degrees
Each line ends with the local moment (μB).
Atoms (fractional coordinates):
Ir 0.000 0.000 0.000  0.13
Ir 0.250 0.750 0.500  0.04
Os 0.500 0.500 0.000  -0.09
Fe 0.750 0.250 0.500  2.29